No. 1
## CaDy2HoBi4 (PBE)

Data for CaDy2HoBi4 after structural relaxation.

Summary:
The raw total energy is -4.71 eV per atom. For the formation enthalpy at 0 K, the calculation gives -77.1 kJ per mole of atoms.

a = 4.474 Å, b = 7.820 Å, c = 7.829 Å
α = 70.88°, β = 90.00°, γ = 90.00°
Atoms (fractional coordinates):
Ca (0.000, 0.500, 0.500)
Ho (0.500, 0.500, 0.000)
Dy (0.500, 0.000, 0.500)
Dy (0.000, 0.000, 0.000)
Bi (0.000, 0.751, 0.753)
Bi (0.000, 0.249, 0.247)
Bi (0.500, 0.245, 0.756)
Bi (0.500, 0.755, 0.244)

No. 2
## La2Pr2As3 (PBE)

Data for La2Pr2As3 after structural relaxation.

Summary:
The raw total energy is -6.07 eV per atom. For the formation enthalpy at 0 K, the calculation gives -125.7 kJ per mole of atoms.

a = 7.937 Å, b = 7.937 Å, c = 7.937 Å
α = 109.47°, β = 109.47°, γ = 109.47°
Atoms (fractional coordinates):
La (0.865, 0.500, 0.000)
La (0.635, 0.135, 0.135)
La (0.500, 0.365, 0.500)
La (0.000, 0.000, 0.365)
Pr (0.133, 0.633, 0.633)
Pr (0.000, 0.000, 0.867)
Pr (0.367, 0.500, 0.000)
Pr (0.500, 0.867, 0.500)
As (0.750, 0.629, 0.379)
As (0.371, 0.121, 0.750)
As (0.879, 0.250, 0.629)
As (0.621, 0.750, 0.871)
As (0.129, 0.379, 0.250)
As (0.250, 0.871, 0.121)

No. 3
## Y2Tc (PBE)

Data for Y2Tc after structural relaxation.

Summary:
The raw total energy is -7.44 eV per atom. As for the distance to the lowest polymorph of the same formula: 335 meV/atom. For the formation enthalpy at 0 K, the calculation gives 31.2 kJ per mole of atoms.

a = 4.346 Å, b = 4.346 Å, c = 15.450 Å
α = 98.09°, β = 98.09°, γ = 90.00°
Atoms (fractional coordinates):
Y (0.251, 0.251, 0.501)
Y (0.836, 0.336, 0.672)
Y (0.749, 0.749, 0.499)
Y (0.999, 0.499, 0.999)
Y (0.586, 0.586, 0.172)
Y (0.664, 0.164, 0.328)
Y (0.414, 0.414, 0.828)
Y (0.501, 0.001, 0.001)
Tc (0.073, 0.073, 0.146)
Tc (0.927, 0.927, 0.854)
Tc (0.323, 0.823, 0.646)
Tc (0.177, 0.677, 0.354)

No. 4
## Co2RhAu (PBE)

Data for Co2RhAu after structural relaxation.

Summary:
The raw total energy is -6.00 eV per atom. For the formation enthalpy at 0 K, the calculation gives 20.0 kJ per mole of atoms.

a = 2.715 Å, b = 2.715 Å, c = 8.866 Å
α = 81.19°, β = 81.19°, γ = 60.00°
Atoms (fractional coordinates):
Co (0.254, 0.254, 0.237)
Co (0.079, 0.079, 0.763)
Au (0.500, 0.500, 0.500)
Rh (0.667, 0.667, 0.000)

No. 5
## ZrMnAs2Br (PBE)

Data for ZrMnAs2Br after structural relaxation.

Summary:
The raw total energy is -4.61 eV per atom. As for the distance to the lowest polymorph of the same formula: 888 meV/atom.

a = 5.223 Å, b = 4.876 Å, c = 5.223 Å
α = 90.00°, β = 90.00°, γ = 90.00°
Atoms (fractional coordinates):
Br (0.000, 0.000, 0.000)
As (0.500, 0.000, 0.000)
As (0.000, 0.000, 0.500)
Zr (0.000, 0.500, 0.000)
Mn (0.500, 0.500, 0.500)

No. 6
## BaTa2Re (PBE)

Data for BaTa2Re after structural relaxation.

Summary:
The raw total energy is -8.32 eV per atom. As for the distance to the lowest polymorph of the same formula: 696 meV/atom. For the formation enthalpy at 0 K, the calculation gives 115.7 kJ per mole of atoms.

a = 5.746 Å, b = 5.746 Å, c = 2.899 Å
α = 79.57°, β = 79.57°, γ = 115.14°
Atoms (fractional coordinates):
Ta (0.500, 0.500, 0.000)
Ta (0.000, 0.000, 0.000)
Ba (0.500, 0.000, 0.500)
Re (0.000, 0.500, 0.500)

No. 7
## BaTeSe (PBE)

Data for BaTeSe after structural relaxation.

Summary:
The raw total energy is -4.13 eV per atom. As for the distance to the lowest polymorph of the same formula: 0 meV/atom.

a = 4.495 Å, b = 5.547 Å, c = 17.670 Å
α = 90.00°, β = 90.00°, γ = 90.00°
Atoms (fractional coordinates):
Ba (0.500, 0.500, 0.127)
Ba (0.500, 0.500, 0.409)
Ba (0.000, 0.000, 0.627)
Ba (0.000, 0.000, 0.909)
Se (0.000, 0.000, 0.435)
Se (0.500, 0.000, 0.771)
Se (0.500, 0.500, 0.935)
Se (0.000, 0.500, 0.271)
Te (0.500, 0.500, 0.604)
Te (0.000, 0.000, 0.104)
Te (0.000, 0.000, 0.278)
Te (0.500, 0.500, 0.778)

No. 8
## Sr2ScAs3Pt4 (PBE)

Data for Sr2ScAs3Pt4 after structural relaxation.

Summary:
The raw total energy is -5.65 eV per atom. For the formation enthalpy at 0 K, the calculation gives -83.9 kJ per mole of atoms.

a = 4.348 Å, b = 4.348 Å, c = 11.018 Å
α = 90.00°, β = 90.00°, γ = 90.00°
Atoms (fractional coordinates):
Pt (0.000, 0.000, 0.000)
Pt (0.500, 0.000, 0.644)
Pt (0.500, 0.500, 0.000)
Pt (0.000, 0.500, 0.356)
Sc (0.500, 0.500, 0.500)
As (0.000, 0.000, 0.500)
As (0.500, 0.000, 0.872)
As (0.000, 0.500, 0.128)
Sr (0.000, 0.500, 0.767)
Sr (0.500, 0.000, 0.233)

No. 9
## SiAsRhBr2 (PBE)

Data for SiAsRhBr2 after structural relaxation.

Summary:
The raw total energy is -3.58 eV per atom. As for the distance to the lowest polymorph of the same formula: 0 meV/atom.

a = 5.122 Å, b = 5.122 Å, c = 4.740 Å
α = 90.00°, β = 90.00°, γ = 90.00°
Atoms (fractional coordinates):
Br (0.000, 0.500, 0.000)
Br (0.500, 0.000, 0.000)
Si (0.500, 0.500, 0.500)
Rh (0.000, 0.000, 0.000)
As (0.000, 0.000, 0.500)

No. 10
## HfZr3Pt (PBE)

Data for HfZr3Pt after structural relaxation.

Summary:
The raw total energy is -8.01 eV per atom. As for the distance to the lowest polymorph of the same formula: 691 meV/atom. For the formation enthalpy at 0 K, the calculation gives 30.5 kJ per mole of atoms.

a = 5.087 Å, b = 5.087 Å, c = 5.087 Å
α = 90.00°, β = 90.00°, γ = 90.00°
Atoms (fractional coordinates):
Hf (0.500, 0.500, 0.500)
Zr (0.500, 0.000, 0.000)
Zr (0.000, 0.500, 0.000)
Zr (0.000, 0.000, 0.500)
Pt (0.000, 0.000, 0.000)

No. 11
## Ba3Zn8Cu3 (PBE)

Data for Ba3Zn8Cu3 after structural relaxation.

Summary:
The raw total energy is -2.13 eV per atom. For the formation enthalpy at 0 K, the calculation gives -11.0 kJ per mole of atoms.

a = 4.436 Å, b = 8.760 Å, c = 8.760 Å
α = 80.08°, β = 75.33°, γ = 75.33°
Atoms (fractional coordinates):
Zn (0.190, 0.503, 0.117)
Zn (0.399, 0.890, 0.312)
Zn (0.601, 0.688, 0.110)
Zn (0.810, 0.497, 0.883)
Zn (0.601, 0.110, 0.688)
Zn (0.810, 0.883, 0.497)
Zn (0.399, 0.312, 0.890)
Zn (0.190, 0.117, 0.503)
Cu (0.000, 0.753, 0.247)
Cu (0.000, 0.247, 0.753)
Cu (0.500, 0.000, 0.000)
Ba (0.185, 0.815, 0.815)
Ba (0.500, 0.500, 0.500)
Ba (0.815, 0.185, 0.185)

No. 12
## Ba3CaSn (PBE)

Data for Ba3CaSn after structural relaxation.

Summary:
The raw total energy is -2.44 eV per atom. As for the distance to the lowest polymorph of the same formula: 0 meV/atom. For the formation enthalpy at 0 K, the calculation gives -8.6 kJ per mole of atoms.

a = 6.787 Å, b = 6.787 Å, c = 6.787 Å
α = 90.00°, β = 90.00°, γ = 90.00°
Atoms (fractional coordinates):
Ba (0.000, 0.500, 0.000)
Ba (0.500, 0.000, 0.000)
Ba (0.000, 0.000, 0.500)
Sn (0.000, 0.000, 0.000)
Ca (0.500, 0.500, 0.500)

No. 13
## PmBeAlZn (PBE)

Data for PmBeAlZn after structural relaxation.

Summary:
The raw total energy is -3.48 eV per atom. For the formation enthalpy at 0 K, the calculation gives -10.0 kJ per mole of atoms.

a = 4.656 Å, b = 4.656 Å, c = 4.656 Å
α = 60.00°, β = 60.00°, γ = 60.00°
Atoms (fractional coordinates):
Be (0.750, 0.750, 0.750)
Pm (0.500, 0.500, 0.500)
Zn (0.250, 0.250, 0.250)
Al (0.000, 0.000, 0.000)

No. 14
## YZrTa2Be (PBE)

Data for YZrTa2Be after structural relaxation.

Summary:
The raw total energy is -7.88 eV per atom. For the formation enthalpy at 0 K, the calculation gives 58.9 kJ per mole of atoms.

a = 4.547 Å, b = 5.021 Å, c = 4.547 Å
α = 90.00°, β = 90.00°, γ = 90.00°
Atoms (fractional coordinates):
Be (0.000, 0.000, 0.000)
Y (0.000, 0.500, 0.000)
Ta (0.000, 0.000, 0.500)
Ta (0.500, 0.000, 0.000)
Zr (0.500, 0.500, 0.500)

No. 15
## Pm4Dy5Y (PBE)

Data for Pm4Dy5Y after structural relaxation.

Summary:
The raw total energy is -4.83 eV per atom. As for the distance to the lowest polymorph of the same formula: 0 meV/atom. For the formation enthalpy at 0 K, the calculation gives 1.5 kJ per mole of atoms.

a = 3.592 Å, b = 7.179 Å, c = 13.891 Å
α = 97.42°, β = 112.81°, γ = 89.97°
Atoms (fractional coordinates):
Pm (0.302, 0.800, 0.202)
Pm (0.697, 0.698, 0.798)
Pm (0.303, 0.302, 0.202)
Pm (0.698, 0.200, 0.798)
Dy (0.102, 0.100, 0.402)
Dy (0.896, 0.399, 0.598)
Dy (0.500, 0.500, 0.000)
Dy (0.898, 0.900, 0.598)
Dy (0.104, 0.601, 0.402)
Y (0.500, 0.000, 0.000)

No. 16
## Nb3Sn (PBE)

Data for Nb3Sn after structural relaxation.

Summary:
The raw total energy is -8.57 eV per atom. For the formation enthalpy at 0 K, the calculation gives -1.9 kJ per mole of atoms.

a = 4.750 Å, b = 4.750 Å, c = 4.750 Å
α = 60.00°, β = 60.00°, γ = 60.00°
Atoms (fractional coordinates):
Sn (0.500, 0.500, 0.500)
Nb (0.250, 0.250, 0.250)
Nb (0.750, 0.750, 0.750)
Nb (0.000, 0.000, 0.000)

No. 17
## BaLiHgPb (PBE)

Data for BaLiHgPb after structural relaxation.

Summary:
The raw total energy is -2.31 eV per atom. As for the distance to the lowest polymorph of the same formula: 53 meV/atom. For the formation enthalpy at 0 K, the calculation gives -34.0 kJ per mole of atoms.

a = 5.599 Å, b = 5.599 Å, c = 5.599 Å
α = 60.00°, β = 60.00°, γ = 60.00°
Atoms (fractional coordinates):
Pb (0.000, 0.000, 0.000)
Ba (0.750, 0.750, 0.750)
Hg (0.500, 0.500, 0.500)
Li (0.250, 0.250, 0.250)

No. 18
## InTeRu2 (PBE)

Data for InTeRu2 after structural relaxation.

Summary:
The raw total energy is -5.85 eV per atom. As for the distance to the lowest polymorph of the same formula: 89 meV/atom.

a = 8.314 Å, b = 8.314 Å, c = 8.314 Å
α = 22.30°, β = 22.30°, γ = 22.30°
Atoms (fractional coordinates):
Te (0.250, 0.250, 0.250)
Ru (0.505, 0.505, 0.505)
Ru (0.995, 0.995, 0.995)
In (0.750, 0.750, 0.750)

No. 19
## SbTe2S6 (PBE)

Data for SbTe2S6 after structural relaxation.

Summary:
The raw total energy is -3.80 eV per atom.

a = 7.143 Å, b = 8.581 Å, c = 8.581 Å
α = 99.71°, β = 84.63°, γ = 84.63°
Atoms (fractional coordinates):
S (0.411, 0.068, 0.195)
S (0.144, 0.009, 0.639)
S (0.975, 0.548, 0.295)
S (0.025, 0.452, 0.705)
S (0.856, 0.991, 0.361)
S (0.644, 0.639, 0.009)
S (0.911, 0.195, 0.068)
S (0.475, 0.295, 0.548)
S (0.525, 0.705, 0.452)
S (0.089, 0.805, 0.932)
S (0.589, 0.932, 0.805)
S (0.356, 0.361, 0.991)
Sb (0.250, 0.062, 0.938)
Sb (0.750, 0.938, 0.062)
Te (0.674, 0.484, 0.214)
Te (0.174, 0.214, 0.484)
Te (0.826, 0.786, 0.516)
Te (0.326, 0.516, 0.786)

No. 20
## CsGeBr2 (PBE)

Data for CsGeBr2 after structural relaxation.

Summary:
The raw total energy is -2.68 eV per atom. As for the distance to the lowest polymorph of the same formula: 195 meV/atom.

a = 5.779 Å, b = 5.779 Å, c = 5.779 Å
α = 60.00°, β = 60.00°, γ = 60.00°
Atoms (fractional coordinates):
Br (0.750, 0.750, 0.750)
Br (0.250, 0.250, 0.250)
Ge (0.000, 0.000, 0.000)
Cs (0.500, 0.500, 0.500)

Number 1: total moment 0.00 μB per atom. Number 2: total moment 0.00 μB per atom. Number 3: total moment 0.00 μB per atom. Number 4: total moment 1.06 μB per atom. Number 5: total moment 0.75 μB per atom. Number 6: total moment 0.00 μB per atom. Number 7: total moment 0.00 μB per atom. Number 8: total moment 0.00 μB per atom. Number 9: total moment 0.10 μB per atom. Number 10: total moment 0.00 μB per atom. Number 11: total moment 0.00 μB per atom. Number 12: total moment 0.17 μB per atom. Number 13: total moment 0.00 μB per atom. Number 14: total moment 0.00 μB per atom. Number 15: total moment 0.00 μB per atom. Number 16: total moment 0.00 μB per atom. Number 17: total moment 0.00 μB per atom. Number 18: total moment 0.00 μB per atom. Number 19: total moment 0.00 μB per atom. Number 20: total moment 0.25 μB per atom.